KTe2RuN after structural relaxation. Source: Alexandria, functional GGA-PBEsol.

abc: 5.7733 5.7733 4.4672
angles: 90.00 90.00 90.00
Last column: nearest neighbours and their distance in Å.
Space group P4/mmm (No. 123)
One atom of each set of equivalent atoms:
K 0.0000 0.0000 0.0000 [1 per cell]  2 N 2.23
Te 0.0000 0.5000 0.0000 [2 per cell]  2 K 2.89
Ru 0.5000 0.5000 0.5000 [1 per cell]  8 Te 3.65, 4 N 4.08
N 0.0000 0.0000 0.5000 [1 per cell]  2 K 2.23

## Properties
- Formation energy (no corrections): 2.350 eV per atom